Entry 1:
The following is a DFT calculation (PBE) of an optimized crystal structure of Ca6Cu2Pd.

Output
* energy of formation: -0.2012 eV/atom

abc: 9.7802 10.0202 10.4498
angles: 90.00 90.00 90.00
With the nearest neighbours (Å) after each atom.
Space group Immm (No. 71)
Unique sites:
Ca1 0.0000 0.1831 0.2449 (multiplicity 8)  1 Cu 2.98, 2 Pd 3.15-3.24
Ca2 0.1864 0.5000 0.3362 (multiplicity 8)  3 Cu 2.93-3.11
Ca3 0.2298 0.3267 0.0000 (multiplicity 8)  3 Cu 3.00-3.09, 1 Pd 3.16
Cu1 0.0000 0.3151 0.5000 (multiplicity 4)  8 Ca 2.98-3.11, 1 Pd 3.16
Cu2 0.0000 0.5000 0.1164 (multiplicity 4)  1 Cu 2.43
Pd1 0.0000 0.0000 0.0000 (multiplicity 2)  8 Ca 3.15-3.51
Pd2 0.0000 0.0000 0.5000 (multiplicity 2)  2 Cu 3.16, 8 Ca 3.16-3.24


Entry 2:
The following is a DFT calculation (PBE) of an optimized crystal structure of Sr2Sn6Pd.

Output
* energy of formation: -0.4851 eV/atom
* E above lowest polymorph: 0.0 meV per atom

abc: 11.7862 6.8039 6.1706
angles: 90.00 90.07 90.00
With the nearest neighbours (Å) after each atom.
Space group C2/m (No. 12)
Unique sites:
Sr1 0.1671 0.0000 0.3350 (multiplicity 4)  12 Sn 3.50-3.75
Sn1 0.0858 0.2417 0.8114 (multiplicity 8)  1 Pd 2.79, 2 Sn 3.09
Sn2 0.1721 0.5000 0.1884 (multiplicity 4)  1 Pd 2.80, 2 Sn 3.09
Pd1 0.0000 0.5000 0.5000 (multiplicity 2)  6 Sn 2.79-2.80


Entry 3:
The following is a DFT calculation (PBE) of an optimized crystal structure of RbCa2HgN.

Output
* calculated total energy: -2.8305 eV/atom

abc: 4.8281 4.8281 7.3375
angles: 90.00 90.00 90.00
With the nearest neighbours (Å) after each atom.
Space group P4/mmm (No. 123)
Unique sites:
Rb1 0.0000 0.0000 0.0000 (multiplicity 1)  4 Hg 3.41
Ca1 0.0000 0.5000 0.5000 (multiplicity 2)  2 N 2.41
Hg1 0.5000 0.5000 0.0000 (multiplicity 1)  4 Rb 3.41, 2 N 3.67
N1 0.5000 0.5000 0.5000 (multiplicity 1)  4 Ca 2.41


Entry 4:
The following is a DFT calculation (PBE) of an optimized crystal structure of BaPmBiPb.

Output
* energy of formation: -0.4836 eV/atom

abc: 8.2648 8.2648 8.2648
angles: 90.00 90.00 90.00
With the nearest neighbours (Å) after each atom.
Space group F-43m (No. 216)
Unique sites:
Ba1 0.0000 0.0000 0.0000 (multiplicity 4)  4 Pb 3.58, 4 Bi 3.58
Pm1 0.0000 0.0000 0.5000 (multiplicity 4)  4 Pb 3.58, 4 Bi 3.58
Bi1 0.2500 0.2500 0.2500 (multiplicity 4)  4 Ba 3.58, 4 Pm 3.58
Pb1 0.2500 0.2500 0.7500 (multiplicity 4)  4 Ba 3.58, 4 Pm 3.58


Entry 5:
The following is a DFT calculation (PBE) of an optimized crystal structure of Te2Pd2Pb.

Output
* E above lowest polymorph: 36.2 meV per atom

abc: 7.9891 7.9891 3.5734
angles: 90.00 90.00 90.00
With the nearest neighbours (Å) after each atom.
Space group P4/mbm (No. 127)
Unique sites:
Te1 0.1686 0.3314 0.0000 (multiplicity 4)  6 Pd 2.90-2.99
Pd1 0.1289 0.6289 0.5000 (multiplicity 4)  6 Te 2.90-2.99, 1 Pd 2.91, 2 Pb 3.14
Pb1 0.0000 0.0000 0.5000 (multiplicity 2)  4 Pd 3.14, 8 Te 3.47


Entry 6:
The following is a DFT calculation (PBE) of an optimized crystal structure of Sr2ErThSe4.

Output
* calculated total energy: -5.4259 eV/atom

abc: 7.3200 4.1961 7.5346
angles: 90.00 108.57 90.00
With the nearest neighbours (Å) after each atom.
Space group P2/m (No. 10)
Unique sites:
Sr1 0.0000 0.0000 0.0000 (multiplicity 1)  6 Se 3.04-3.05
Sr2 0.5000 0.5000 0.0000 (multiplicity 1)  6 Se 3.11-3.12
Er1 0.0000 0.5000 0.5000 (multiplicity 1)  6 Se 2.92
Th1 0.5000 0.0000 0.5000 (multiplicity 1)  6 Se 2.98-2.99
Se1 0.2361 0.0000 0.7311 (multiplicity 2)  2 Er 2.92, 1 Th 2.98, 3 Sr 3.05-3.12
Se2 0.2458 0.5000 0.2619 (multiplicity 2)  1 Er 2.92, 2 Th 2.99, 3 Sr 3.04-3.11


Entry 7:
The following is a DFT calculation (PBE) of an optimized crystal structure of VCIN2.

Output
* E above lowest polymorph: 913.8 meV per atom

abc: 3.8230 3.8230 4.3194
angles: 90.00 90.00 90.00
With the nearest neighbours (Å) after each atom.
Space group P4/mmm (No. 123)
Unique sites:
V1 0.0000 0.0000 0.0000 (multiplicity 1)  4 I 2.70, 8 N 2.88
C1 0.5000 0.5000 0.5000 (multiplicity 1)  4 N 1.91
I1 0.5000 0.5000 0.0000 (multiplicity 1)  2 C 2.16
N1 0.0000 0.5000 0.5000 (multiplicity 2)  2 C 1.91


Entry 8:
The following is a DFT calculation (PBE) of an optimized crystal structure of ZrFeBr2.

Output
* E above lowest polymorph: 627.4 meV per atom

abc: 3.2399 4.4548 5.8540
angles: 90.00 90.00 90.00
With the nearest neighbours (Å) after each atom.
Space group Pmmm (No. 47)
Unique sites:
Zr1 0.0000 0.0000 0.0000 (multiplicity 1)  4 Br 2.75
Fe1 0.5000 0.0000 0.5000 (multiplicity 1)  4 Br 2.75
Br1 0.0000 0.5000 0.5000 (multiplicity 1)  4 Fe 2.75
Br2 0.5000 0.5000 0.0000 (multiplicity 1)  4 Zr 2.75


Entry 9:
The following is a DFT calculation (PBE) of an optimized crystal structure of ZrMn2Re.

Output
* energy of formation: 0.3512 eV/atom
* E above lowest polymorph: 311.3 meV per atom

abc: 2.8522 2.8522 26.6489
angles: 90.00 90.00 120.00
With the nearest neighbours (Å) after each atom.
Space group R-3m (No. 166, hexagonal axes)
Unique sites:
Zr1 0.0000 0.0000 0.0000 (multiplicity 3)  6 Zr 2.85, 6 Mn 2.94
Mn1 0.0000 0.0000 0.2421 (multiplicity 6)  3 Re 2.60, 6 Mn 2.85
Re1 0.0000 0.0000 0.5000 (multiplicity 3)  6 Mn 2.60, 6 Re 2.85


Entry 10:
The following is a DFT calculation (PBE) of an optimized crystal structure of Zn4Hg.

Output
* energy of formation: 0.1018 eV/atom
* E above lowest polymorph: 0.0 meV per atom

abc: 6.4999 6.4999 4.0393
angles: 90.00 90.00 90.00
With the nearest neighbours (Å) after each atom.
Space group I4/m (No. 87)
Unique sites:
Zn1 0.0934 0.3117 0.0000 (multiplicity 8)  9 Zn 2.73-2.99, 3 Hg 2.91-2.92
Hg1 0.0000 0.0000 0.5000 (multiplicity 2)  12 Zn 2.91-2.92


Entry 11:
The following is a DFT calculation (PBE) of an optimized crystal structure of PuNpTc.

Output
* energy of formation: 0.0927 eV/atom
* E above lowest polymorph: 26.8 meV per atom

abc: 3.2591 3.2591 9.7039
angles: 90.00 90.00 90.00
With the nearest neighbours (Å) after each atom.
Space group I4mm (No. 107)
Unique sites:
Pu1 0.0000 0.0000 0.0000 (multiplicity 2)  4 Np 2.62, 4 Tc 2.93
Np1 0.0000 0.0000 0.6280 (multiplicity 2)  4 Pu 2.62, 4 Tc 2.92
Tc1 0.0000 0.0000 0.3133 (multiplicity 2)  5 Np 2.92-3.05, 5 Pu 2.93-3.04, 4 Tc 3.26


Entry 12:
The following is a DFT calculation (PBE) of an optimized crystal structure of HfMn2HRh.

Output
* E above lowest polymorph: 0.0 meV per atom

abc: 3.7839 3.7839 4.3564
angles: 90.00 90.00 90.00
With the nearest neighbours (Å) after each atom.
Space group P4/mmm (No. 123)
Unique sites:
Hf1 0.0000 0.0000 0.0000 (multiplicity 1)  2 H 2.18
Mn1 0.0000 0.5000 0.5000 (multiplicity 2)  2 H 1.89
H1 0.0000 0.0000 0.5000 (multiplicity 1)  4 Mn 1.89
Rh1 0.5000 0.5000 0.0000 (multiplicity 1)  4 Hf 2.68, 8 Mn 2.89